Below is crystalline Tc2HO at its relaxed geometry, with properties calculated at the PBE level.

Cell: 4.1667 4.1667 5.7351 Å, 68.70 68.70 90.00°
With the nearest neighbours (Å) after each atom.
Positions (direct):
O1 0.7500 0.2500 0.5000  4 Tc 2.01
H1 0.5000 0.5000 0.0000  4 Tc 1.83
H2 0.2500 0.7500 0.5000  4 Tc 1.83
Tc1 0.5854 0.1250 0.2500  2 H 1.83, 2 O 2.01
Tc2 0.8750 0.8354 0.7500  2 H 1.83, 2 O 2.01
O2 0.0000 0.0000 0.0000  4 Tc 2.01
Tc3 0.1646 0.6250 0.2500  2 H 1.83, 2 O 2.01
Tc4 0.3750 0.4146 0.7500  2 H 1.83, 2 O 2.01

Space-group type ... I-42d
Magnetic moment ... 0.000 μB/atom
ΔE to the lowest computed polymorph ... 0 meV/atom